1.
TaVMo4: optimized geometry, PBE.

Computed properties:
**Crystal system**: orthorhombic
**Energy of formation**: 1439 meV/atom
**DOS at the Fermi energy**: 4.7 states/eV/f.u.
**M_tot**: 0.000 μB per atom

a = 4.7937 Å, b = 4.9806 Å, c = 4.9806 Å
α = 86.92°, β = 90.00°, γ = 90.00°
Closest atoms and distances in Å follow each position.
Fractional positions:
Ta1 0.0000 0.5000 0.5000  6 Mo 2.49-2.67
V1 0.5000 0.0000 0.0000  2 Mo 2.24
Mo1 0.5000 0.3273 0.6727  1 V 2.24, 1 Mo 2.37
Mo2 0.0000 0.8438 0.8438  1 Mo 2.26, 1 Ta 2.49
Mo3 0.0000 0.1562 0.1562  1 Mo 2.26, 1 Ta 2.49
Mo4 0.5000 0.6727 0.3273  1 V 2.24, 1 Mo 2.37

***

2.
TaV2Mo: optimized geometry, PBE.

Computed properties:
**Crystal system**: orthorhombic
**Energy of formation**: 204 meV/atom
**DOS at the Fermi energy**: 5.4 states/eV/f.u.
**M_tot**: 0.000 μB per atom

a = 4.6037 Å, b = 5.1207 Å, c = 5.3189 Å
α = 90.00°, β = 90.00°, γ = 90.00°
Closest atoms and distances in Å follow each position.
Fractional positions:
Ta1 0.0000 0.0000 0.3637  4 Mo 2.56-2.74
Ta2 0.5000 0.5000 0.6363  4 Mo 2.56-2.74
V1 0.0000 0.2490 0.8696  4 V 2.55-2.69
V2 0.0000 0.7510 0.8696  4 V 2.55-2.69
V3 0.5000 0.2510 0.1304  4 V 2.55-2.69
V4 0.5000 0.7490 0.1304  4 V 2.55-2.69
Mo1 0.0000 0.5000 0.3554  4 Ta 2.56-2.74
Mo2 0.5000 0.0000 0.6446  4 Ta 2.56-2.74

***

3.
Ta3VMo2: optimized geometry, PBE.

Computed properties:
**Crystal system**: tetragonal
**Energy of formation**: -127 meV/atom
**DOS at the Fermi energy**: 6.9 states/eV/f.u.
**M_tot**: 0.000 μB per atom

a = 3.2171 Å, b = 3.2171 Å, c = 9.6066 Å
α = 90.00°, β = 90.00°, γ = 90.00°
Closest atoms and distances in Å follow each position.
Fractional positions:
Ta1 0.0000 0.0000 0.0000  8 Mo 2.80
Ta2 0.0000 0.0000 0.6647  4 V 2.77, 4 Mo 2.77
Ta3 0.0000 0.0000 0.3353  4 V 2.77, 4 Mo 2.77
V1 0.5000 0.5000 0.5000  8 Ta 2.77
Mo1 0.5000 0.5000 0.8301  8 Ta 2.77-2.80
Mo2 0.5000 0.5000 0.1699  8 Ta 2.77-2.80